GePdS3 after structural relaxation, computed with PBEsol.

The space group is Pm-3m (No. 221) and the conventional cell measures 4.619, 4.619 and 4.619 Å, with angles of 90.00, 90.00 and 90.00 degrees. The inequivalent atoms are Ge at (0.000, 0.000, 0.000), Pd at (0.500, 0.500, 0.500) and S at (0.000, 0.500, 0.500).

The density is 4.64 g cm⁻³. As for the total moment: 0.00 Bohr magnetons per cell. The value obtained for the total energy is -4.42 eV per atom.